Compound: Ag4TeBrCl2
Source: Alexandria
Functional: PBE
Structure: optimized geometry

a b c (Å): 8.6738 8.6738 7.4829
angles (deg): 115.58 115.58 101.37
Last column: nearest neighbours and their distance in Å.
Sites, in units of the cell vectors:
Cl  0.5000  0.0000  0.5000  4 Ag 2.68
Te  0.0000  0.5000  0.0000  6 Ag 2.83-2.84
Ag  0.2463  0.7792  0.0129  2 Cl 2.68, 2 Te 2.83
Ag  0.2110  0.2887  0.5159  2 Cl 2.72, 1 Te 2.84, 2 Br 2.88
Cl  0.5000  0.5000  0.0000  4 Ag 2.72
Cl  0.5000  0.0000  0.0000  4 Ag 2.68
Ag  0.7887  0.7110  0.0159  2 Cl 2.72, 1 Te 2.84, 2 Br 2.88
Ag  0.2113  0.2890  0.9841  2 Cl 2.72, 1 Te 2.84, 2 Br 2.88
Te  0.0000  0.5000  0.5000  6 Ag 2.83-2.84
Cl  0.0000  0.0000  0.5000  4 Ag 2.72
Ag  0.2792  0.7463  0.5129  2 Cl 2.68, 2 Te 2.83
Br  0.5000  0.5000  0.5000  6 Ag 2.88-3.14
Ag  0.7890  0.7113  0.4841  2 Cl 2.72, 1 Te 2.84, 2 Br 2.88
Ag  0.7537  0.2208  0.9871  2 Cl 2.68, 2 Te 2.83
Ag  0.7208  0.2537  0.4871  2 Cl 2.68, 2 Te 2.83
Br  0.0000  0.0000  0.0000  6 Ag 2.88-3.14

Values from the calculation:
- calculated density (g/cm³) = 5.84
- raw formation energy (eV per atom) = -0.2707
- M_tot (μB per atom) = 0.000
- density of states at the Fermi level (states/eV/atom) = 0.358